(1)
Entry from Alexandria: Dy3Ag3Hg2 after structural relaxation (PBE). Values from VASP.

Energy of formation = -295 meV/atom
Total magnetic moment = 0.000 μB per cell
Space-group type = No. 189
Density of states at the Fermi level = 5.4 states/eV per cell

The structure in Quantum ESPRESSO input format:
```
&SYSTEM
  ibrav = 0, nat = 8, ntyp = 3
/
ATOMIC_SPECIES
Dy 162.50 Dy.upf
Ag 107.87 Ag.upf
Hg 200.59 Hg.upf
ATOMIC_POSITIONS angstrom
Dy -2.3407 4.0543 0.0000
Dy 1.4147 2.4503 0.0000
Dy 4.6814 0.0000 0.0000
Ag -0.8480 1.4687 1.9760
Ag 1.6959 0.0000 1.9760
Ag 2.9074 5.0358 1.9760
Hg 0.0000 4.3363 1.9760
Hg 3.7554 2.1682 1.9760
CELL_PARAMETERS angstrom
7.5108 0.0000 0.0000
-3.7554 6.5045 0.0000
0.0000 0.0000 3.9519
```

***

(2)
Entry from Alexandria: DyAgHg2 after structural relaxation (PBE). Values from VASP.

Energy of formation = -236 meV/atom
Total magnetic moment = 0.222 μB per cell
Space-group type = No. 123
Density of states at the Fermi level = 2.6 states/eV per cell

The structure in Quantum ESPRESSO input format:
```
&SYSTEM
  ibrav = 0, nat = 4, ntyp = 3
/
ATOMIC_SPECIES
Dy 162.50 Dy.upf
Ag 107.87 Ag.upf
Hg 200.59 Hg.upf
ATOMIC_POSITIONS angstrom
Dy 0.0000 0.0000 0.0000
Ag 0.0000 0.0000 3.5835
Hg 1.7781 1.7781 1.9339
Hg 1.7781 1.7781 5.2331
CELL_PARAMETERS angstrom
3.5562 0.0000 0.0000
0.0000 3.5562 0.0000
0.0000 0.0000 7.1670
```

***

(3)
Entry from Alexandria: DyAg4Hg2 after structural relaxation (PBE). Values from VASP.

Energy of formation = -76 meV/atom
Total magnetic moment = 0.000 μB per cell
Space-group type = No. 139
Density of states at the Fermi level = 3.6 states/eV per cell

The structure in Quantum ESPRESSO input format:
```
&SYSTEM
  ibrav = 0, nat = 14, ntyp = 3
/
ATOMIC_SPECIES
Dy 162.50 Dy.upf
Ag 107.87 Ag.upf
Hg 200.59 Hg.upf
ATOMIC_POSITIONS angstrom
Dy 0.0000 0.0000 0.0000
Dy 3.6157 3.6157 2.8148
Ag 1.4005 1.4005 2.8148
Ag 1.4005 5.8308 2.8148
Ag 2.2152 2.2152 0.0000
Ag 2.2152 5.0162 0.0000
Ag 5.0162 2.2152 0.0000
Ag 5.0162 5.0162 0.0000
Ag 5.8308 1.4005 2.8148
Ag 5.8308 5.8308 2.8148
Hg 0.0000 3.6157 1.4074
Hg 0.0000 3.6157 4.2223
Hg 3.6157 0.0000 1.4074
Hg 3.6157 0.0000 4.2223
CELL_PARAMETERS angstrom
7.2313 0.0000 0.0000
0.0000 7.2313 0.0000
0.0000 0.0000 5.6297
```

***

(4)
Entry from Alexandria: Dy3AgHg5 after structural relaxation (PBE). Values from VASP.

Energy of formation = -380 meV/atom
Total magnetic moment = 0.000 μB per cell
Space-group type = No. 193
Density of states at the Fermi level = 11.5 states/eV per cell

The structure in Quantum ESPRESSO input format:
```
&SYSTEM
  ibrav = 0, nat = 18, ntyp = 3
/
ATOMIC_SPECIES
Dy 162.50 Dy.upf
Ag 107.87 Ag.upf
Hg 200.59 Hg.upf
ATOMIC_POSITIONS angstrom
Dy -1.5642 2.7093 1.5596
Dy -2.9079 5.0366 4.6787
Dy 3.1284 0.0000 1.5596
Dy 1.5642 2.7093 4.6787
Dy 5.8158 0.0000 4.6787
Dy 2.9079 5.0366 1.5596
Ag 0.0000 0.0000 0.0000
Ag 0.0000 0.0000 3.1191
Hg -1.3925 2.4118 4.6787
Hg -3.0796 5.3341 1.5596
Hg 2.7849 0.0000 4.6787
Hg 1.3925 2.4118 1.5596
Hg 0.0000 5.1639 0.0000
Hg 0.0000 5.1639 3.1191
Hg 4.4721 2.5820 0.0000
Hg 4.4721 2.5820 3.1191
Hg 6.1592 0.0000 1.5596
Hg 3.0796 5.3341 4.6787
CELL_PARAMETERS angstrom
8.9442 0.0000 0.0000
-4.4721 7.7459 0.0000
0.0000 0.0000 6.2383
```

***

(5)
Entry from Alexandria: Dy2Ag3Hg after structural relaxation (PBE). Values from VASP.

Relative energy among the computed polymorphs = 102 meV per atom
Energy of formation = -199 meV/atom
Total magnetic moment = 0.000 μB per cell
Space-group type = No. 44
Density of states at the Fermi level = 6.5 states/eV per cell

The structure in Quantum ESPRESSO input format:
```
&SYSTEM
  ibrav = 0, nat = 12, ntyp = 3
/
ATOMIC_SPECIES
Dy 162.50 Dy.upf
Ag 107.87 Ag.upf
Hg 200.59 Hg.upf
ATOMIC_POSITIONS angstrom
Dy 0.0000 0.0000 0.0000
Dy 0.0000 2.0044 4.3774
Dy 1.9493 0.0000 13.7060
Dy 1.9493 2.0044 9.3287
Ag 0.0000 0.0000 10.6066
Ag 0.0000 2.0044 12.3933
Ag 0.0000 2.0044 15.1301
Ag 1.9493 0.0000 3.0646
Ag 1.9493 0.0000 5.8014
Ag 1.9493 2.0044 1.2779
Hg 0.0000 0.0000 7.7509
Hg 1.9493 2.0044 17.0795
CELL_PARAMETERS angstrom
3.8985 0.0000 0.0000
0.0000 4.0089 0.0000
0.0000 0.0000 18.6573
```

***

(6)
Entry from Alexandria: Dy6Ag3Hg after structural relaxation (PBE). Values from VASP.

Energy of formation = -241 meV/atom
Total magnetic moment = 0.000 μB per cell
Space-group type = No. 11
Density of states at the Fermi level = 16.4 states/eV per cell

The structure in Quantum ESPRESSO input format:
```
&SYSTEM
  ibrav = 0, nat = 20, ntyp = 3
/
ATOMIC_SPECIES
Dy 162.50 Dy.upf
Ag 107.87 Ag.upf
Hg 200.59 Hg.upf
ATOMIC_POSITIONS angstrom
Dy -0.2219 1.2474 1.2932
Dy -1.0165 1.2474 8.2346
Dy 0.2291 3.7423 5.9810
Dy 2.8034 3.7423 1.3219
Dy 2.2786 1.2474 4.1199
Dy 0.7635 3.7423 9.7121
Dy 5.1481 1.2474 1.7639
Dy 3.6330 3.7423 7.3562
Dy 3.1083 1.2474 10.1542
Dy 5.6825 1.2474 5.4951
Dy 6.9281 3.7423 3.2415
Dy 6.1335 3.7423 10.1829
Ag -0.7999 1.2474 4.2335
Ag 0.5940 3.7423 3.0869
Ag -0.7218 1.2474 11.1864
Ag 6.6334 3.7423 0.2896
Ag 5.3176 1.2474 8.3892
Ag 6.7115 3.7423 7.2426
Hg 1.8369 1.2474 7.3263
Hg 4.0747 3.7423 4.1498
CELL_PARAMETERS angstrom
9.2344 0.0000 0.0000
0.0000 4.9897 0.0000
-3.3228 0.0000 11.4761
```

***

(7)
Entry from Alexandria: DyAgHg4 after structural relaxation (PBE). Values from VASP.

Energy of formation = -163 meV/atom
Total magnetic moment = 0.000 μB per cell
Space-group type = No. 12
Density of states at the Fermi level = 5.9 states/eV per cell

The structure in Quantum ESPRESSO input format:
```
&SYSTEM
  ibrav = 0, nat = 12, ntyp = 3
/
ATOMIC_SPECIES
Dy 162.50 Dy.upf
Ag 107.87 Ag.upf
Hg 200.59 Hg.upf
ATOMIC_POSITIONS angstrom
Dy 0.0000 0.0000 0.0000
Dy 2.5690 4.2793 0.0000
Ag -0.4903 0.0000 3.1622
Ag 2.0787 4.2793 3.1622
Hg -0.0442 2.8229 1.6063
Hg -0.0442 5.7358 1.6063
Hg 1.6327 1.4565 4.7180
Hg 1.6327 7.1022 4.7180
Hg 2.5248 1.4565 1.6063
Hg 2.5248 7.1022 1.6063
Hg 4.2017 2.8229 4.7180
Hg 4.2017 5.7358 4.7180
CELL_PARAMETERS angstrom
5.1381 0.0000 0.0000
0.0000 8.5587 0.0000
-0.9806 0.0000 6.3243
```

***

(8)
Entry from Alexandria: Dy2Ag3Hg2 after structural relaxation (PBE). Values from VASP.

Energy of formation = -192 meV/atom
Total magnetic moment = 0.000 μB per cell
Space-group type = No. 65
Density of states at the Fermi level = 6.7 states/eV per cell

The structure in Quantum ESPRESSO input format:
```
&SYSTEM
  ibrav = 0, nat = 14, ntyp = 3
/
ATOMIC_SPECIES
Dy 162.50 Dy.upf
Ag 107.87 Ag.upf
Hg 200.59 Hg.upf
ATOMIC_POSITIONS angstrom
Dy 0.0000 3.0120 0.0000
Dy 0.0000 17.4899 0.0000
Dy 2.3080 7.2389 0.0000
Dy 2.3080 13.2630 0.0000
Ag 0.0000 0.0000 0.0000
Ag 0.0000 8.8839 1.6662
Ag 0.0000 11.6180 1.6662
Ag 2.3080 1.3671 1.6662
Ag 2.3080 10.2509 0.0000
Ag 2.3080 19.1348 1.6662
Hg 0.0000 5.9741 1.6662
Hg 0.0000 14.5278 1.6662
Hg 2.3080 4.2769 1.6662
Hg 2.3080 16.2250 1.6662
CELL_PARAMETERS angstrom
4.6159 0.0000 0.0000
0.0000 20.5019 0.0000
0.0000 0.0000 3.3323
```

***

(9)
Entry from Alexandria: Dy5AgHg4 after structural relaxation (PBE). Values from VASP.

Energy of formation = -448 meV/atom
Total magnetic moment = 0.000 μB per cell
Space-group type = No. 123
Density of states at the Fermi level = 9.2 states/eV per cell

The structure in Quantum ESPRESSO input format:
```
&SYSTEM
  ibrav = 0, nat = 10, ntyp = 3
/
ATOMIC_SPECIES
Dy 162.50 Dy.upf
Ag 107.87 Ag.upf
Hg 200.59 Hg.upf
ATOMIC_POSITIONS angstrom
Dy 0.0000 0.0000 0.0000
Dy 0.0000 0.0000 3.7535
Dy 0.0000 0.0000 7.4906
Dy 0.0000 0.0000 11.0647
Dy 0.0000 0.0000 14.8018
Ag 1.8499 1.8499 9.2776
Hg 1.8499 1.8499 1.8781
Hg 1.8499 1.8499 5.6079
Hg 1.8499 1.8499 12.9474
Hg 1.8499 1.8499 16.6772
CELL_PARAMETERS angstrom
3.6998 0.0000 0.0000
0.0000 3.6998 0.0000
0.0000 0.0000 18.5553
```

***

(10)
Entry from Alexandria: DyAgHg2 after structural relaxation (PBE). Values from VASP.

Energy of formation = -99 meV/atom
Total magnetic moment = 0.000 μB per cell
Space-group type = No. 160
Density of states at the Fermi level = 7.6 states/eV per cell

The structure in Quantum ESPRESSO input format:
```
&SYSTEM
  ibrav = 0, nat = 12, ntyp = 3
/
ATOMIC_SPECIES
Dy 162.50 Dy.upf
Ag 107.87 Ag.upf
Hg 200.59 Hg.upf
ATOMIC_POSITIONS angstrom
Dy 0.0000 0.0000 0.0000
Dy 0.0000 2.3671 14.3469
Dy 2.0499 1.1835 7.1734
Ag 0.0000 0.0000 17.8975
Ag 0.0000 2.3671 10.7241
Ag 2.0499 1.1835 3.5506
Hg 0.0000 0.0000 9.1150
Hg 0.0000 0.0000 12.4013
Hg 0.0000 2.3671 1.9415
Hg 0.0000 2.3671 5.2278
Hg 2.0499 1.1835 16.2884
Hg 2.0499 1.1835 19.5747
CELL_PARAMETERS angstrom
4.0999 0.0000 0.0000
-2.0499 3.5506 0.0000
0.0000 0.0000 21.5203
```

***

(11)
Entry from Alexandria: DyAg4Hg4 after structural relaxation (PBE). Values from VASP.

Energy of formation = -72 meV/atom
Total magnetic moment = 0.000 μB per cell
Space-group type = No. 139
Density of states at the Fermi level = 3.4 states/eV per cell

The structure in Quantum ESPRESSO input format:
```
&SYSTEM
  ibrav = 0, nat = 9, ntyp = 3
/
ATOMIC_SPECIES
Dy 162.50 Dy.upf
Ag 107.87 Ag.upf
Hg 200.59 Hg.upf
ATOMIC_POSITIONS angstrom
Dy 0.0000 0.0000 0.0000
Ag 3.3053 0.0000 0.0000
Ag 6.2567 0.0000 0.0000
Ag 0.0000 3.3053 0.0000
Ag 0.0000 6.2567 0.0000
Hg 3.1472 3.1472 0.0000
Hg 1.6338 -1.6338 2.1045
Hg -1.6338 1.6338 2.1045
Hg 1.6338 1.6338 2.1045
CELL_PARAMETERS angstrom
-4.7810 4.7810 2.1045
4.7810 -4.7810 2.1045
4.7810 4.7810 -2.1045
```

***

> Which formula does entry 1 have?

Dy3Ag3Hg2

***

> Number 9 is which compound?

Dy5AgHg4

***

What did the second record say?
Entry from Alexandria: DyAgHg2 after structural relaxation (PBE). Values from VASP.

Energy of formation = -236 meV/atom
Total magnetic moment = 0.222 μB per cell
Space-group type = No. 123
Density of states at the Fermi level = 2.6 states/eV per cell

The structure in Quantum ESPRESSO input format:
```
&SYSTEM
  ibrav = 0, nat = 4, ntyp = 3
/
ATOMIC_SPECIES
Dy 162.50 Dy.upf
Ag 107.87 Ag.upf
Hg 200.59 Hg.upf
ATOMIC_POSITIONS angstrom
Dy 0.0000 0.0000 0.0000
Ag 0.0000 0.0000 3.5835
Hg 1.7781 1.7781 1.9339
Hg 1.7781 1.7781 5.2331
CELL_PARAMETERS angstrom
3.5562 0.0000 0.0000
0.0000 3.5562 0.0000
0.0000 0.0000 7.1670
```